[1]
DFT (PBE) results for a relaxed CsRe2Te crystal.

Cell and atoms, written as POSCAR:
```
CsRe2Te
1.0
-0.342 -2.939 -2.913
4.842 -1.097 0.537
-2.671 -7.779 8.192
Cs Re Te
2 4 2
Direct
0.252 0.018 0.877 Cs
0.748 0.518 0.123 Cs
0.134 0.746 0.441 Re
0.866 0.246 0.559 Re
0.365 0.290 0.441 Re
0.635 0.790 0.559 Re
0.752 0.518 0.757 Te
0.248 0.018 0.243 Te
```

Summary:
Raw formation energy, eV per atom: 0.227
Total magnetization, μB/f.u.: 0.0

[2]
DFT (PBE) results for a relaxed Na2Be2AgAu5 crystal.

Cell and atoms, written as POSCAR:
```
Na2Be2AgAu5
1.0
3.022 0.000 0.000
0.000 10.770 0.000
0.000 0.000 10.770
Na Be Ag Au
4 4 2 10
Direct
0.000 0.677 0.177 Na
0.000 0.323 0.823 Na
0.000 0.177 0.323 Na
0.000 0.823 0.677 Na
0.000 0.124 0.624 Be
0.000 0.876 0.376 Be
0.000 0.624 0.876 Be
0.000 0.376 0.124 Be
0.000 0.000 0.000 Ag
0.000 0.500 0.500 Ag
0.500 0.216 0.068 Au
0.500 0.784 0.932 Au
0.500 0.068 0.784 Au
0.500 0.716 0.432 Au
0.500 0.932 0.216 Au
0.500 0.284 0.568 Au
0.500 0.568 0.716 Au
0.500 0.432 0.284 Au
0.500 0.500 0.000 Au
0.500 0.000 0.500 Au
```

Summary:
Total magnetization, μB/f.u.: 0.0
E_form, eV per atom: -0.22

> What is the formula in the first record?

CsRe2Te

Repeat the first record exactly.
DFT (PBE) results for a relaxed CsRe2Te crystal.

Cell and atoms, written as POSCAR:
```
CsRe2Te
1.0
-0.342 -2.939 -2.913
4.842 -1.097 0.537
-2.671 -7.779 8.192
Cs Re Te
2 4 2
Direct
0.252 0.018 0.877 Cs
0.748 0.518 0.123 Cs
0.134 0.746 0.441 Re
0.866 0.246 0.559 Re
0.365 0.290 0.441 Re
0.635 0.790 0.559 Re
0.752 0.518 0.757 Te
0.248 0.018 0.243 Te
```

Summary:
Raw formation energy, eV per atom: 0.227
Total magnetization, μB/f.u.: 0.0

Repeat the first record exactly.
DFT (PBE) results for a relaxed CsRe2Te crystal.

Cell and atoms, written as POSCAR:
```
CsRe2Te
1.0
-0.342 -2.939 -2.913
4.842 -1.097 0.537
-2.671 -7.779 8.192
Cs Re Te
2 4 2
Direct
0.252 0.018 0.877 Cs
0.748 0.518 0.123 Cs
0.134 0.746 0.441 Re
0.866 0.246 0.559 Re
0.365 0.290 0.441 Re
0.635 0.790 0.559 Re
0.752 0.518 0.757 Te
0.248 0.018 0.243 Te
```

Summary:
Raw formation energy, eV per atom: 0.227
Total magnetization, μB/f.u.: 0.0